Computed, not measured: a geometry-optimized AsIr structure at the PBE level of DFT.

a b c (Å): 3.6568 3.6568 7.1179
angles (deg): 90.00 90.00 120.00
With the nearest neighbours (Å) after each atom.
Fractional positions:
1 As 0.3333 0.6667 0.0000  4 Ir 2.38-2.46
2 As 0.6667 0.3333 0.5000  4 Ir 2.38-2.46
3 Ir 0.3333 0.6667 0.3454  4 As 2.38-2.46
4 Ir 0.6667 0.3333 0.8454  4 As 2.38-2.46

Computed, not measured: a geometry-optimized As3Ir5 structure at the PBE level of DFT.

a b c (Å): 7.0200 7.0200 5.9817
angles (deg): 90.00 90.00 120.00
With the nearest neighbours (Å) after each atom.
Fractional positions:
1 As 0.0000 0.4119 0.2500  7 Ir 2.51-2.59
2 As 0.0000 0.5881 0.7500  7 Ir 2.51-2.59
3 As 0.4119 0.0000 0.2500  7 Ir 2.51-2.59
4 As 0.4119 0.4119 0.7500  7 Ir 2.51-2.59
5 As 0.5881 0.0000 0.7500  7 Ir 2.51-2.59
6 As 0.5881 0.5881 0.2500  7 Ir 2.51-2.59
7 Ir 0.0000 0.2278 0.7500  3 As 2.51-2.53, 2 Ir 2.77
8 Ir 0.0000 0.7722 0.2500  3 As 2.51-2.53, 2 Ir 2.77
9 Ir 0.2278 0.0000 0.7500  3 As 2.51-2.53, 2 Ir 2.77
10 Ir 0.2278 0.2278 0.2500  3 As 2.51-2.53, 2 Ir 2.77
11 Ir 0.3333 0.6667 0.0000  6 As 2.59
12 Ir 0.3333 0.6667 0.5000  6 As 2.59
13 Ir 0.6667 0.3333 0.0000  6 As 2.59
14 Ir 0.6667 0.3333 0.5000  6 As 2.59
15 Ir 0.7722 0.0000 0.2500  3 As 2.51-2.53, 2 Ir 2.77
16 Ir 0.7722 0.7722 0.7500  3 As 2.51-2.53, 2 Ir 2.77

Computed, not measured: a geometry-optimized As3Ir structure at the PBE level of DFT.

a b c (Å): 3.8103 7.9628 5.1309
angles (deg): 90.00 90.00 90.00
With the nearest neighbours (Å) after each atom.
Fractional positions:
1 As 0.2500 0.0763 0.2054  2 As 2.67-2.77, 3 Ir 2.67-2.73
2 As 0.2500 0.2500 0.6501  2 Ir 2.48, 2 As 2.67
3 As 0.2500 0.4237 0.2054  2 As 2.67-2.77, 3 Ir 2.67-2.73
4 As 0.7500 0.5763 0.7946  2 As 2.67-2.77, 3 Ir 2.67-2.73
5 As 0.7500 0.7500 0.3499  2 Ir 2.48, 2 As 2.67
6 As 0.7500 0.9237 0.7946  2 As 2.67-2.77, 3 Ir 2.67-2.73
7 Ir 0.2500 0.7500 0.0401  8 As 2.48-2.73
8 Ir 0.7500 0.2500 0.9599  8 As 2.48-2.73

Computed, not measured: a geometry-optimized As3Ir structure at the PBE level of DFT.

a b c (Å): 4.7654 4.7654 4.7654
angles (deg): 126.08 126.08 79.76
With the nearest neighbours (Å) after each atom.
Fractional positions:
1 As 0.0000 0.0000 0.0000  8 As 2.83, 4 Ir 3.06
2 As 0.2500 0.7500 0.5000  8 As 2.83-3.06, 4 Ir 2.83
3 As 0.7500 0.2500 0.5000  8 As 2.83-3.06, 4 Ir 2.83
4 Ir 0.5000 0.5000 0.0000  12 As 2.83-3.06

Number 1: M_tot 0.0 μB/cell, DFT formation energy 0.033 eV per atom. Number 2: M_tot 0.0 μB/cell, DFT formation energy 0.489 eV per atom. Number 3: M_tot 0.0 μB/cell, DFT formation energy 0.006 eV per atom. Number 4: M_tot 0.0 μB/cell, DFT formation energy 0.394 eV per atom.